# 1
Density functional theory data (PBE) for a relaxed TaCoPdRh crystal.

a b c (Å): 3.7535 3.8773 3.9140
angles (deg): 90.00 90.00 90.00
Fractional coordinates of all 4 atoms:
Ta: 0.0000 0.0000 0.0000
Co: 0.5000 0.0000 0.5000
Pd: 0.0000 0.5000 0.5000
Rh: 0.5000 0.5000 0.0000

Theoretical density ... 13.095 g/cm3
Uncorrected energy ... -8.264 eV per atom

# 2
Density functional theory data (PBE) for a relaxed ZnPt2WAu crystal.

a b c (Å): 5.0090 5.0090 4.8188
angles (deg): 90.00 90.00 90.00
Fractional coordinates of all 5 atoms:
Zn: 0.0000 0.0000 0.0000
Pt: 0.0000 0.5000 0.5000
Pt: 0.5000 0.0000 0.5000
W: 0.5000 0.5000 0.0000
Au: 0.5000 0.5000 0.5000

Theoretical density ... 11.487 g/cm3
Uncorrected energy ... -4.118 eV per atom

# 3
Density functional theory data (PBE) for a relaxed Ba2InTe crystal.

a b c (Å): 5.9626 5.9626 5.9626
angles (deg): 60.00 60.00 60.00
Fractional coordinates of all 4 atoms:
Ba: 0.0000 0.0000 0.0000
Ba: 0.2500 0.2500 0.2500
In: 0.5000 0.5000 0.5000
Te: 0.7500 0.7500 0.7500

E above lowest polymorph ... 516 meV/atom
Theoretical density ... 5.728 g/cm3
Raw formation energy ... -0.415 eV per atom

# 4
Density functional theory data (PBE) for a relaxed CaAlCdIn crystal.

a b c (Å): 5.1266 5.1266 5.1266
angles (deg): 60.00 60.00 60.00
Fractional coordinates of all 4 atoms:
Ca: 0.0000 0.0000 0.0000
Al: 0.5000 0.5000 0.5000
Cd: 0.2500 0.2500 0.2500
In: 0.7500 0.7500 0.7500

Theoretical density ... 5.129 g/cm3
Uncorrected energy ... -2.506 eV per atom

# 5
Density functional theory data (PBE) for a relaxed KCa2I5 crystal.

a b c (Å): 9.6547 9.6547 9.6547
angles (deg): 151.16 130.32 58.47
Fractional coordinates of all 8 atoms:
K: 0.0000 0.0000 0.0000
Ca: 0.3143 0.8143 0.5000
Ca: 0.6857 0.1857 0.5000
I: 0.0832 0.3455 0.7377
I: 0.3922 0.6545 0.7377
I: 0.5000 0.0000 0.5000
I: 0.6078 0.3455 0.2623
I: 0.9168 0.6545 0.2623

Theoretical density ... 3.809 g/cm3
Raw formation energy ... -1.500 eV per atom

# 6
Density functional theory data (PBE) for a relaxed PmDy2ReN4 crystal.

a b c (Å): 6.1118 6.1118 11.6230
angles (deg): 90.00 90.00 147.12
Fractional coordinates of all 16 atoms:
Pm: 0.1218 0.8782 0.7500
Pm: 0.8782 0.1218 0.2500
Dy: 0.3687 0.6313 0.5392
Dy: 0.3687 0.6313 0.9608
Dy: 0.6313 0.3687 0.0392
Dy: 0.6313 0.3687 0.4608
Re: 0.1420 0.8580 0.2500
Re: 0.8580 0.1420 0.7500
N: 0.0000 0.0000 0.0000
N: 0.0000 0.0000 0.5000
N: 0.2637 0.7363 0.1289
N: 0.2637 0.7363 0.3711
N: 0.4409 0.5591 0.7500
N: 0.5591 0.4409 0.2500
N: 0.7363 0.2637 0.6289
N: 0.7363 0.2637 0.8711

Theoretical density ... 10.035 g/cm3
Raw formation energy ... -1.036 eV per atom

# 7
Density functional theory data (PBE) for a relaxed LaTiCu2As crystal.

a b c (Å): 4.9631 4.9631 5.0571
angles (deg): 90.00 90.00 90.00
Fractional coordinates of all 5 atoms:
La: 0.0000 0.0000 0.0000
Ti: 0.0000 0.0000 0.5000
Cu: 0.0000 0.5000 0.0000
Cu: 0.5000 0.0000 0.0000
As: 0.5000 0.5000 0.5000

Theoretical density ... 5.183 g/cm3
Uncorrected energy ... -3.693 eV per atom

# 8
Density functional theory data (PBE) for a relaxed Cr2CuSi crystal.

a b c (Å): 3.0968 3.8542 4.0140
angles (deg): 90.00 90.00 90.00
Fractional coordinates of all 4 atoms:
Cr: 0.0000 0.0000 0.0000
Cr: 0.5000 0.5000 0.0000
Cu: 0.0000 0.5000 0.5000
Si: 0.5000 0.0000 0.5000

Theoretical density ... 6.780 g/cm3
Raw formation energy ... 0.021 eV per atom